The following is a PBE+U calculation of a relaxed AlCr2F crystal, from Alexandria via LeMat-Bulk.

abc: 4.5755 4.5755 4.5755
angles: 60.00 60.00 60.00
With the nearest neighbours (Å) after each atom.
Sites, in units of the cell vectors:
1 Cr 0.2500 0.2500 0.2500  4 F 2.80, 4 Al 2.80
2 Cr 0.7500 0.7500 0.7500  4 F 2.80, 4 Al 2.80
3 Al 0.5000 0.5000 0.5000  8 Cr 2.80
4 F 0.0000 0.0000 0.0000  8 Cr 2.80

DFT total energy: -0.191 hartree per atom
symmetry: Fm-3m
polymorph energy (0 for the lowest one): 0.252 eV/atom